Record 1
# Li3TiSiO5

A relaxed structure of Li3TiSiO5 (PBE, the Alexandria database).

Cell lengths 4.7875, 5.6264, 16.0908 Å; angles 90.00, 90.00, 90.00 degrees
Last column: nearest neighbours and their distance in Å.
Fractional positions:
Li  0.0064  0.6563  0.5897  4 O 1.96-2.06
Li  0.0064  0.1563  0.9103  4 O 1.96-2.06
Li  0.5118  0.3338  0.9923  4 O 1.98-2.05
Li  0.5118  0.8338  0.5077  4 O 1.98-2.05
Li  0.5202  0.3080  0.8051  4 O 1.93-2.15
Li  0.5202  0.8080  0.6949  4 O 1.93-2.15
Li  0.5064  0.3437  0.4103  4 O 1.96-2.06
Li  0.5064  0.8437  0.0897  4 O 1.96-2.06
Li  0.0118  0.6662  0.0077  4 O 1.98-2.05
Li  0.0118  0.1662  0.4923  4 O 1.98-2.05
Li  0.0202  0.1920  0.3051  4 O 1.93-2.15
Li  0.0202  0.6920  0.1949  4 O 1.93-2.15
Ti  0.0226  0.1539  0.6960  4 O 1.87-2.07
Ti  0.0226  0.6539  0.8040  4 O 1.87-2.07
Ti  0.5226  0.3461  0.1960  4 O 1.87-2.07
Ti  0.5226  0.8461  0.3040  4 O 1.87-2.07
Si  0.0060  0.1708  0.0955  4 O 1.62-1.71
Si  0.0060  0.6708  0.4045  4 O 1.62-1.71
Si  0.5060  0.3292  0.5955  4 O 1.62-1.71
Si  0.5060  0.8292  0.9045  4 O 1.62-1.71
O  0.0716  0.3252  0.7985  2 Ti 1.87-1.93, 1 Li 2.06
O  0.0716  0.8252  0.7015  2 Ti 1.87-1.93, 1 Li 2.06
O  0.1021  0.3940  0.3990  1 Si 1.63
O  0.1021  0.8940  0.1010  1 Si 1.63
O  0.1062  0.3188  0.0143  1 Si 1.62
O  0.1062  0.8188  0.4857  1 Si 1.62
O  0.0936  0.3197  0.1843  1 Si 1.71
O  0.0936  0.8197  0.3157  1 Si 1.71
O  0.1546  0.3232  0.5990  1 Si 1.68
O  0.1546  0.8232  0.9010  1 Si 1.68
O  0.5716  0.6748  0.2015  2 Ti 1.87-1.93, 1 Li 2.06
O  0.5716  0.1748  0.2985  2 Ti 1.87-1.93, 1 Li 2.06
O  0.6021  0.6060  0.6010  1 Si 1.63
O  0.6021  0.1060  0.8990  1 Si 1.63
O  0.6062  0.1812  0.5143  1 Si 1.62
O  0.6062  0.6812  0.9857  1 Si 1.62
O  0.5936  0.1803  0.6843  1 Si 1.71
O  0.5936  0.6803  0.8157  1 Si 1.71
O  0.6546  0.1768  0.0990  1 Si 1.68
O  0.6546  0.6768  0.4010  1 Si 1.68

Values from the calculation:
- Spin magnetization: 1.00 μB/f.u.
- Space group: Pna2_1 (33)
- Raw formation energy: -2.48 eV per atom



Record 2
# LiTi2SiO6

A relaxed structure of LiTi2SiO6 (PBE, the Alexandria database).

Cell lengths 4.6168, 4.7695, 4.7695 Å; angles 90.00, 90.00, 90.00 degrees
Last column: nearest neighbours and their distance in Å.
Fractional positions:
Li  0.5586  0.5000  0.5000  5 O 1.86-1.95
Ti  0.9681  0.5000  0.0000  4 O 2.00
Ti  0.9681  0.0000  0.5000  4 O 2.00
Si  0.6017  0.0000  0.0000  5 O 1.65-1.72
O  0.7378  0.2382  0.2382  1 Si 1.72
O  0.7378  0.2382  0.7618  1 Si 1.72
O  0.1552  0.5000  0.5000  1 Li 1.86
O  0.2440  0.0000  0.0000  1 Si 1.65
O  0.7378  0.7618  0.7618  1 Si 1.72
O  0.7378  0.7618  0.2382  1 Si 1.72

Values from the calculation:
- Spin magnetization: 1.00 μB/f.u.
- Space group: P4mm (99)
- Raw formation energy: -2.35 eV per atom



Record 3
# LiTl6Si2O7

A relaxed structure of LiTl6Si2O7 (PBE, the Alexandria database).

Cell lengths 5.2047, 8.7339, 8.9740 Å; angles 116.54, 94.57, 87.10 degrees
Last column: nearest neighbours and their distance in Å.
Fractional positions:
Li  0.7090  0.8936  0.4030  2 O 1.84-1.86
Tl  0.7234  0.3569  0.2669  2 O 2.45-2.47
Tl  0.7156  0.6898  0.0397  2 O 2.37-2.56
Tl  0.6166  0.9413  0.7368  2 O 2.55-2.64
Tl  0.1548  0.5937  0.6832  3 O 2.44-2.61
Tl  0.2147  0.2810  0.9115  3 O 2.40-2.59
Tl  0.1605  0.1094  0.4001  2 O 2.44-2.61
Si  0.2212  0.6686  0.3062  3 O 1.62-1.63
Si  0.6935  0.3048  0.6630  4 O 1.65-1.66
O  0.3274  0.5800  0.1204  1 Si 1.62
O  0.4003  0.8230  0.4426  1 Si 1.63
O  0.0980  0.5475  0.3744  1 Si 1.62
O  0.8119  0.4005  0.8592  1 Si 1.66
O  0.7946  0.1016  0.5783  1 Si 1.66, 1 Li 1.84
O  0.7958  0.3987  0.5553  1 Si 1.65
O  0.3737  0.3144  0.6617  1 Si 1.66

Values from the calculation:
- Spin magnetization: 1.00 μB/f.u.
- Space group: P1 (1)
- Raw formation energy: -1.40 eV per atom



Record 4
# LiTl6Si2O7

A relaxed structure of LiTl6Si2O7 (PBE, the Alexandria database).

Cell lengths 8.5564, 8.5564, 5.2055 Å; angles 90.00, 90.00, 120.00 degrees
Last column: nearest neighbours and their distance in Å.
Fractional positions:
Li  0.3333  0.6667  0.3440  3 Tl 2.96
Tl  0.0479  0.7609  0.7309  1 O 2.42
Tl  0.2391  0.2869  0.7309  1 O 2.42
Tl  0.7131  0.9521  0.7309  1 O 2.42
Tl  0.6066  0.5685  0.1911  3 O 2.42-2.52
Tl  0.4315  0.0381  0.1911  3 O 2.42-2.52
Tl  0.9619  0.3934  0.1911  3 O 2.42-2.52
Si  0.0000  0.0000  0.2352  3 O 1.60
Si  0.6667  0.3333  0.6877  4 O 1.65-1.68
O  0.2096  0.1484  0.2433  1 Si 1.60
O  0.8516  0.0613  0.2433  1 Si 1.60
O  0.9387  0.7904  0.2433  1 Si 1.60
O  0.4604  0.1923  0.7901  1 Si 1.65
O  0.8077  0.2681  0.7901  1 Si 1.65
O  0.7319  0.5396  0.7901  1 Si 1.65
O  0.6667  0.3333  0.3648  1 Si 1.68

Values from the calculation:
- Spin magnetization: 0.00 μB/f.u.
- Space group: P3 (143)
- Raw formation energy: -1.34 eV per atom